Entry 1:
9
Lattice="6.742 0.149 0.215 -3.106 5.986 -0.215 -3.106 -2.304 5.529" Properties=species:S:1:pos:R:3 comment="La2Sm2ZnGa4 PBE relaxed" space_group=I4/mmm e_tot_ev_per_atom=-3.987 n_ef_per_ev_cell=9.10 pbc="T T T"
Ga 1.757 0.961 1.387
Ga -1.226 2.869 4.141
Ga -3.106 -0.302 4.141
Ga -3.106 3.983 1.173
Sm -4.247 2.518 3.634
Sm -1.964 1.164 1.680
Zn 0.000 0.000 0.000
La 0.265 -0.157 4.200
La 0.265 3.988 1.329

Entry 2:
6
Lattice="4.084 -0.197 -0.046 0.196 4.083 -0.046 0.093 0.084 7.925" Properties=species:S:1:pos:R:3 comment="LiYAu PBE relaxed" space_group=P4/nmm e_above_lowest_polymorph_ev_per_atom=0.000 n_ef_per_ev_cell=5.36 pbc="T T T"
Li 3.480 1.415 7.234
Li 1.537 3.554 7.234
Y 1.377 1.457 2.096
Y 3.544 3.426 4.445
Au 1.414 1.490 5.236
Au 3.508 3.393 1.305

Entry 3:
4
Lattice="5.035 0.000 0.000 0.000 5.035 0.000 -2.517 -2.517 5.173" Properties=species:S:1:pos:R:3 comment="AcPb3 PBE relaxed" space_group=I4/mmm e_tot_ev_per_atom=-4.139 n_ef_per_ev_cell=2.44 pbc="T T T"
Pb 2.517 0.000 2.586
Pb 2.517 2.517 0.000
Pb 0.000 2.517 2.586
Ac 0.000 0.000 0.000

Entry 4:
4
Lattice="2.199 0.000 8.929 -1.099 1.904 8.929 -1.099 -1.904 8.929" Properties=species:S:1:pos:R:3 comment="PbAuSe2 PBE relaxed" space_group=R-3m n_ef_per_ev_cell=2.91 raw_formation_energy_ev_per_atom=0.064 pbc="T T T"
Se 0.000 0.000 23.785
Se 0.000 0.000 3.002
Au 0.000 0.000 13.393
Pb 0.000 0.000 0.000

Entry 5:
10
Lattice="-0.234 -0.244 -4.991 -3.516 -2.395 -2.687 -4.379 4.397 -2.195" Properties=species:S:1:pos:R:3 comment="ReNi3Rh PBE relaxed" space_group=P-1 e_above_lowest_polymorph_ev_per_atom=0.000 n_ef_per_ev_cell=13.57 pbc="T T T"
Ni -5.616 -0.329 -8.011
Ni -1.973 1.423 -2.798
Ni -0.915 0.109 -0.910
Ni -5.402 3.620 -5.571
Ni -3.394 -1.012 -6.971
Ni -3.244 -0.095 -4.415
Re -4.212 2.173 -3.816
Re -6.572 1.361 -4.774
Rh -6.650 2.061 -7.305
Rh -4.368 1.230 -6.276

Entry 6:
9
Lattice="-3.870 -1.849 2.298 -2.091 -5.122 -2.490 3.958 -7.687 5.632" Properties=species:S:1:pos:R:3 comment="Ce2Th5Sc2 PBE relaxed" space_group=C2/m e_tot_ev_per_atom=-6.808 n_ef_per_ev_cell=16.46 pbc="T T T"
Th -3.925 -7.858 2.521
Th -1.399 -11.707 3.678
Th 0.000 0.000 0.000
Th -0.603 -2.950 1.762
Th 1.923 -6.799 2.918
Ce -3.317 -4.924 0.755
Ce 1.314 -9.733 4.684
Sc -1.280 -5.795 3.484
Sc -0.722 -8.862 1.956

Entry 7:
4
Lattice="4.059 -0.012 0.039 2.041 3.508 0.039 1.963 1.125 5.018" Properties=species:S:1:pos:R:3 comment="CaFeNi2 PBE relaxed" space_group=Cm e_tot_ev_per_atom=-5.455 n_ef_per_ev_cell=5.42 pbc="T T T"
Fe 2.029 1.163 0.300
Ni 6.098 3.495 0.230
Ni 6.033 3.457 4.691
Ca 4.034 2.312 2.502

Entry 8:
8
Lattice="-1.881 -3.051 -6.430 -6.174 -2.609 3.044 -5.369 -0.492 -2.410" Properties=species:S:1:pos:R:3 comment="TlTcPt2 PBE relaxed" space_group=I-42d e_above_lowest_polymorph_ev_per_atom=0.398 n_ef_per_ev_cell=11.97 pbc="T T T"
Pt -10.914 -5.253 -4.850
Pt -3.240 -2.276 -4.073
Pt -5.485 -2.215 0.328
Pt -7.209 -2.560 -2.997
Tl -5.639 -3.187 -5.266
Tl 0.000 0.000 0.000
Tc -7.785 -2.965 -0.529
Tc -4.028 -2.830 -1.693

Entry 9:
20
Lattice="3.535 0.000 0.000 0.000 11.652 0.000 0.000 0.000 11.652" Properties=species:S:1:pos:R:3 comment="Dy5In2Ir2Ru PBE relaxed" space_group=P4/mbm e_tot_ev_per_atom=-6.085 n_ef_per_ev_cell=12.63 pbc="T T T"
Ir 0.000 7.422 10.056
Ir 0.000 1.596 7.422
Ir 0.000 10.056 4.230
Ir 0.000 4.230 1.596
Dy 1.768 3.560 6.579
Dy 1.768 2.266 0.753
Dy 1.768 0.753 9.387
Dy 1.768 9.387 10.899
Dy 1.768 0.000 5.826
Dy 1.768 10.899 2.266
Dy 1.768 5.826 0.000
Dy 1.768 5.073 3.560
Dy 1.768 6.579 8.092
Dy 1.768 8.092 5.073
In 0.000 3.728 9.555
In 0.000 2.098 3.728
In 0.000 7.924 2.098
In 0.000 9.555 7.924
Ru 0.000 0.000 0.000
Ru 0.000 5.826 5.826

Entry 10:
5
Lattice="5.536 0.000 0.000 0.000 5.536 0.000 0.000 0.000 5.536" Properties=species:S:1:pos:R:3 comment="AgGeBi3 PBE relaxed" space_group=Pm-3m e_tot_ev_per_atom=-3.107 n_ef_per_ev_cell=3.37 pbc="T T T"
Ge 0.000 0.000 0.000
Ag 2.768 2.768 2.768
Bi 0.000 2.768 0.000
Bi 0.000 0.000 2.768
Bi 2.768 0.000 0.000

Entry 11:
12
Lattice="-1.853 -4.310 -2.253 2.427 -4.456 6.529 -10.256 4.222 0.357" Properties=species:S:1:pos:R:3 comment="LaPr3NdTh PBE relaxed" space_group=P2_1/m e_tot_ev_per_atom=-5.212 n_ef_per_ev_cell=18.87 pbc="T T T"
Pr -2.603 -4.051 0.873
Pr -3.599 -1.990 3.762
Pr -7.078 -0.494 3.760
Pr -6.082 -2.554 0.871
Pr -9.936 2.383 0.606
Pr 0.255 -6.927 4.027
Th -6.527 1.004 0.441
Th -3.154 -5.548 4.191
Nd -9.400 -1.215 1.038
Nd -0.281 -3.329 3.595
La -6.451 -4.205 4.334
La -3.231 -0.339 0.299

Entry 12:
5
Lattice="5.687 0.000 0.000 0.000 5.687 0.000 0.000 0.000 5.687" Properties=species:S:1:pos:R:3 comment="AcNd3Ir PBE relaxed" space_group=Pm-3m e_above_lowest_polymorph_ev_per_atom=0.063 n_ef_per_ev_cell=9.21 pbc="T T T"
Nd 0.000 2.844 0.000
Nd 0.000 0.000 2.844
Nd 2.844 0.000 0.000
Ac 2.844 2.844 2.844
Ir 0.000 0.000 0.000